DFT (GGA-PBE) results for a relaxed PuUFe crystal.

- calculated formation energy (eV/atom) = 0.067
- crystal system = tetragonal
- space-group type = I4mm
- calculated volume (A^3/atom) = 18.00
- energy above the most stable polymorph in this dataset (meV per atom) = 0

abc: 3.3754 3.3754 5.3075
angles: 108.54 108.54 90.00
With the nearest neighbours (Å) after each atom.
Fractional positions:
Fe 0.2702 0.2702 0.5403  4 U 2.72, 4 Pu 2.92
Pu 0.9470 0.9470 0.8941  5 Fe 2.92-3.06, 5 U 2.97-2.98
U 0.6328 0.6328 0.2656  4 Fe 2.72, 5 Pu 2.97-2.98

=====

DFT (GGA-PBE) results for a relaxed Li2AlAg crystal.

- calculated formation energy (eV/atom) = -0.110
- crystal system = monoclinic
- space-group type = Cm
- calculated volume (A^3/atom) = 16.58

abc: 2.8252 2.8252 9.1620
angles: 85.94 85.94 65.52
With the nearest neighbours (Å) after each atom.
Fractional positions:
Li 0.2015 0.2015 0.2478  3 Ag 2.76-2.99, 3 Al 2.82-2.91, 6 Li 2.83-3.06
Li 0.1091 0.1091 0.7523  3 Ag 2.76-3.01, 3 Al 2.82-2.95, 6 Li 2.83-3.06
Al 0.5369 0.5369 0.4998  6 Li 2.82-2.95, 6 Al 2.83-3.06
Ag 0.6526 0.6526 0.0002  6 Li 2.76-3.01, 6 Ag 2.83-3.06

=====

DFT (GGA-PBE) results for a relaxed YTi2V2 crystal.

- calculated formation energy (eV/atom) = 0.273
- crystal system = tetragonal
- space-group type = P4/mbm
- calculated volume (A^3/atom) = 18.43
- energy above the most stable polymorph in this dataset (meV per atom) = 0

abc: 7.6797 7.6797 3.1245
angles: 90.00 90.00 90.00
With the nearest neighbours (Å) after each atom.
Fractional positions:
V 0.3601 0.8601 0.0000  6 Ti 2.65-2.87, 2 Y 2.97
V 0.6399 0.1399 0.0000  6 Ti 2.65-2.87, 2 Y 2.97
V 0.8601 0.6399 0.0000  6 Ti 2.65-2.87, 2 Y 2.97
V 0.1399 0.3601 0.0000  6 Ti 2.65-2.87, 2 Y 2.97
Ti 0.8610 0.3610 0.5000  6 V 2.65-2.87
Ti 0.3610 0.1390 0.5000  6 V 2.65-2.87
Ti 0.1390 0.6390 0.5000  6 V 2.65-2.87
Ti 0.6390 0.8610 0.5000  6 V 2.65-2.87
Y 0.0000 0.0000 0.0000  4 V 2.97, 2 Y 3.12
Y 0.5000 0.5000 0.0000  4 V 2.97, 2 Y 3.12

=====

DFT (GGA-PBE) results for a relaxed MnAlSe crystal.

- crystal system = hexagonal
- space-group type = P-6m2
- E_form (uncorrected) (meV per atom) = 99
- calculated volume (A^3/atom) = 17.33
- energy above the most stable polymorph in this dataset (meV per atom) = 194

abc: 4.1940 4.1940 3.4138
angles: 90.00 90.00 120.00
With the nearest neighbours (Å) after each atom.
Fractional positions:
Mn 0.6667 0.3333 0.5002  3 Se 2.42
Al 0.0000 0.0000 0.9999  6 Mn 2.96, 6 Se 2.96
Se 0.3333 0.6667 0.4999  3 Mn 2.42

=====

DFT (GGA-PBE) results for a relaxed ZrAl3B crystal.

- calculated formation energy (eV/atom) = 1.809
- crystal system = cubic
- space-group type = Pm-3m
- calculated volume (A^3/atom) = 28.92
- energy above the most stable polymorph in this dataset (meV per atom) = 1571

abc: 5.2485 5.2485 5.2485
angles: 90.00 90.00 90.00
With the nearest neighbours (Å) after each atom.
Fractional positions:
Al 0.0000 0.0000 0.5000  2 Zr 2.62
Al 0.0000 0.5000 0.0000  2 Zr 2.62
Al 0.5000 0.0000 0.0000  2 Zr 2.62
B 0.5000 0.5000 0.5000  12 Al 3.71
Zr 0.0000 0.0000 0.0000  6 Al 2.62

=====

DFT (GGA-PBE) results for a relaxed KSb2Os crystal.

- crystal system = cubic
- space-group type = Fm-3m
- E_form (uncorrected) (meV per atom) = 500
- calculated volume (A^3/atom) = 21.36
- energy above the most stable polymorph in this dataset (meV per atom) = 456

abc: 4.9437 4.9437 4.9437
angles: 60.00 60.00 60.00
With the nearest neighbours (Å) after each atom.
Fractional positions:
Sb 0.2500 0.2500 0.2500  4 Os 3.03, 4 K 3.03
Sb 0.7500 0.7500 0.7500  4 Os 3.03, 4 K 3.03
Os 0.5000 0.5000 0.5000  8 Sb 3.03
K 0.0000 0.0000 0.0000  8 Sb 3.03

=====

DFT (GGA-PBE) results for a relaxed GaCu2SnP crystal.

- calculated formation energy (eV/atom) = 0.799
- crystal system = tetragonal
- space-group type = P4/mmm
- calculated volume (A^3/atom) = 21.63

abc: 4.4887 5.3683 4.4887
angles: 90.00 90.00 90.00
With the nearest neighbours (Å) after each atom.
Fractional positions:
Cu 0.0000 0.0000 0.5000  2 Ga 2.24
Cu 0.5000 0.0000 0.0000  2 Ga 2.24
Sn 0.0000 0.5000 0.0000  2 Ga 2.68
P 0.5000 0.5000 0.5000  4 Sn 3.17, 8 Cu 3.50
Ga 0.0000 0.0000 0.0000  4 Cu 2.24

=====

DFT (GGA-PBE) results for a relaxed RbCd2AgCl6 crystal.

- crystal system = monoclinic
- space-group type = C2/c
- E_form (uncorrected) (meV per atom) = -1119
- calculated volume (A^3/atom) = 35.07

abc: 7.8041 9.7861 9.7861
angles: 88.88 75.73 75.73
With the nearest neighbours (Å) after each atom.
Fractional positions:
Cl 0.9383 0.3842 0.8620  1 Cd 2.50, 1 Ag 2.50
Cl 0.8181 0.0465 0.1995  1 Cd 2.49
Cl 0.3181 0.1995 0.0465  1 Cd 2.49
Cl 0.4612 0.4359 0.3137  2 Cd 2.51-2.56
Cl 0.0617 0.6158 0.1380  1 Cd 2.50, 1 Ag 2.50
Cl 0.5388 0.5641 0.6863  2 Cd 2.51-2.56
Cl 0.1819 0.9535 0.8005  1 Cd 2.49
Cl 0.5617 0.1380 0.6158  1 Cd 2.50, 1 Ag 2.50
Cl 0.0388 0.6863 0.5641  2 Cd 2.51-2.56
Cl 0.4383 0.8620 0.3842  1 Cd 2.50, 1 Ag 2.50
Cl 0.6819 0.8005 0.9535  1 Cd 2.49
Cl 0.9612 0.3137 0.4359  2 Cd 2.51-2.56
Rb 0.2500 0.8806 0.1194  6 Cl 3.26-3.33
Rb 0.7500 0.1194 0.8806  6 Cl 3.26-3.33
Cd 0.6892 0.2377 0.3874  4 Cl 2.49-2.56
Cd 0.8108 0.6126 0.7623  4 Cl 2.49-2.56
Cd 0.3108 0.7623 0.6126  4 Cl 2.49-2.56
Cd 0.1892 0.3874 0.2377  4 Cl 2.49-2.56
Ag 0.7500 0.7773 0.2227  2 Cl 2.50
Ag 0.2500 0.2227 0.7773  2 Cl 2.50

=====

DFT (GGA-PBE) results for a relaxed PmMn3 crystal.

- calculated formation energy (eV/atom) = 0.367
- crystal system = hexagonal
- space-group type = P6_3/mmc
- calculated volume (A^3/atom) = 18.40

abc: 6.0585 6.0585 4.6315
angles: 90.00 90.00 120.00
With the nearest neighbours (Å) after each atom.
Fractional positions:
Mn 0.1457 0.8543 0.2500  6 Mn 2.65-2.78
Mn 0.8543 0.7086 0.7500  6 Mn 2.65-2.78
Mn 0.1457 0.2914 0.2500  6 Mn 2.65-2.78
Mn 0.2914 0.1457 0.7500  6 Mn 2.65-2.78
Mn 0.8543 0.1457 0.7500  6 Mn 2.65-2.78
Mn 0.7086 0.8543 0.2500  6 Mn 2.65-2.78
Pm 0.6667 0.3333 0.2500  12 Mn 3.04
Pm 0.3333 0.6667 0.7500  12 Mn 3.04

=====

DFT (GGA-PBE) results for a relaxed Ba6Pd2Rh crystal.

- calculated formation energy (eV/atom) = -0.337
- crystal system = monoclinic
- space-group type = P2_1/c
- calculated volume (A^3/atom) = 44.83

abc: 7.5083 7.9504 13.5195
angles: 90.00 90.00 90.00
With the nearest neighbours (Å) after each atom.
Fractional positions:
Ba 0.2380 0.1651 0.3377  1 Rh 3.12, 2 Pd 3.21-3.22
Ba 0.7620 0.8349 0.6623  1 Rh 3.12, 2 Pd 3.21-3.22
Ba 0.2620 0.6651 0.8377  1 Rh 3.12, 2 Pd 3.21-3.22
Ba 0.7638 0.8348 0.3371  1 Rh 3.12, 2 Pd 3.21
Ba 0.7362 0.3348 0.8371  1 Rh 3.12, 2 Pd 3.21
Ba 0.7223 0.8251 0.9997  1 Rh 3.08, 2 Pd 3.23
Ba 0.2638 0.6652 0.1629  1 Rh 3.12, 2 Pd 3.21
Ba 0.2777 0.1749 0.0003  1 Rh 3.08, 2 Pd 3.23
Ba 0.2362 0.1652 0.6629  1 Rh 3.12, 2 Pd 3.21
Ba 0.7380 0.3349 0.1623  1 Rh 3.12, 2 Pd 3.21-3.22
Ba 0.7777 0.3251 0.4997  1 Rh 3.08, 2 Pd 3.23
Ba 0.2223 0.6749 0.5003  1 Rh 3.08, 2 Pd 3.23
Pd 0.5008 0.0002 0.1769  6 Ba 3.21-3.23
Pd 0.9992 0.5002 0.6769  6 Ba 3.21-3.23
Pd 0.0008 0.4998 0.3231  6 Ba 3.21-3.23
Pd 0.4992 0.9998 0.8231  6 Ba 3.21-3.23
Rh 0.5000 0.5000 0.0000  6 Ba 3.08-3.12
Rh 0.0000 0.0000 0.5000  6 Ba 3.08-3.12

=====

DFT (GGA-PBE) results for a relaxed LaDyCo2 crystal.

- calculated formation energy (eV/atom) = -0.036
- crystal system = tetragonal
- space-group type = P4/mmm
- calculated volume (A^3/atom) = 20.09
- energy above the most stable polymorph in this dataset (meV per atom) = 82

abc: 3.4230 3.4230 6.8577
angles: 90.00 90.00 90.00
With the nearest neighbours (Å) after each atom.
Fractional positions:
Co 0.0000 0.0000 0.7630  4 Dy 2.92, 4 La 3.02, 1 Co 3.25
Co 0.0000 0.0000 0.2370  4 Dy 2.92, 4 La 3.02, 1 Co 3.25
Dy 0.5000 0.5000 0.0000  8 Co 2.92
La 0.5000 0.5000 0.5000  8 Co 3.02

=====

DFT (GGA-PBE) results for a relaxed Pm2Ni3Sn4Ru crystal.

- calculated formation energy (eV/atom) = -0.479
- crystal system = tetragonal
- space-group type = P-4m2
- calculated volume (A^3/atom) = 20.36

abc: 4.3918 4.3918 10.5552
angles: 90.00 90.00 90.00
With the nearest neighbours (Å) after each atom.
Fractional positions:
Ni 0.5000 0.0000 0.8719  5 Sn 2.50-2.58
Ni 0.0000 0.5000 0.1281  5 Sn 2.50-2.58
Ni 0.0000 0.0000 0.5000  4 Sn 2.62
Sn 0.0000 0.5000 0.3650  3 Ni 2.50-2.62, 2 Ru 2.62
Sn 0.5000 0.0000 0.6350  3 Ni 2.50-2.62, 2 Ru 2.62
Sn 0.0000 0.0000 0.0000  4 Ni 2.58
Sn 0.5000 0.5000 0.0000  4 Ni 2.58
Pm 0.5000 0.0000 0.2520  8 Sn 3.33-3.45, 6 Ni 3.37-3.42, 2 Ru 3.42
Pm 0.0000 0.5000 0.7480  8 Sn 3.33-3.45, 6 Ni 3.37-3.42, 2 Ru 3.42
Ru 0.5000 0.5000 0.5000  4 Sn 2.62

=====

Record order is preserved below.
D(E_F): 6.4; 1.1; 15.0; 1.9; 3.4; 1.6; 3.7; 0.0; 5.4; 13.6; 2.2; 5.7 states/eV per cell